[1]
DFT (PBE+U) results for a geometry-optimized CoW3F structure.

Output
Its space-group type is Pm-3m (221). The calculation puts the magnetization at 2.226 Bohr magnetons per cell. The calculation puts the density of states at the Fermi level at 2.4 states/eV per cell. For the density, the calculation gives 13.53 Mg/m³. The calculation puts the energy above the most stable polymorph in this dataset at 56 meV/atom.

Structure (POSCAR):
```
CoW3F
1.0
4.2595 0.0000 0.0000
0.0000 4.2595 0.0000
0.0000 0.0000 4.2595
Co W F
1 3 1
Cartesian
0.0000 0.0000 0.0000
0.0000 2.1297 2.1297
2.1297 0.0000 2.1297
2.1297 2.1297 0.0000
2.1297 2.1297 2.1297
```

---

[2]
DFT (PBE+U) results for a geometry-optimized Co3WF structure.

Output
Its space-group type is Pm-3m (221). The calculation puts the magnetization at 5.802 Bohr magnetons per cell. The calculation puts the density of states at the Fermi level at 1.6 states/eV per cell. For the density, the calculation gives 5.66 Mg/m³. The calculation puts the energy above the most stable polymorph in this dataset at 986 meV/atom.

Structure (POSCAR):
```
Co3WF
1.0
4.8127 0.0000 0.0000
0.0000 4.8127 0.0000
0.0000 0.0000 4.8127
Co W F
3 1 1
Cartesian
0.0000 0.0000 2.4064
0.0000 2.4064 0.0000
2.4064 0.0000 0.0000
0.0000 0.0000 0.0000
2.4064 2.4064 2.4064
```

---

[3]
DFT (PBE+U) results for a geometry-optimized CoWF2 structure.

Output
Its space-group type is I-42d (122). The calculation puts the magnetization at 12.000 Bohr magnetons per cell. The calculation puts the density of states at the Fermi level at 8.7 states/eV per cell. For the density, the calculation gives 7.31 Mg/m³. The calculation puts the energy above the most stable polymorph in this dataset at 531 meV/atom.

Structure (POSCAR):
```
CoWF2
1.0
5.0431 0.0000 0.0000
0.0000 5.0431 0.0000
0.0000 0.0000 10.0244
Co W F
4 4 8
Cartesian
0.0000 0.0000 0.0000
0.0000 2.5216 2.5061
2.5216 0.0000 7.5183
2.5216 2.5216 5.0122
0.0000 0.0000 5.0122
0.0000 2.5216 7.5183
2.5216 0.0000 2.5061
2.5216 2.5216 0.0000
1.0344 1.2608 1.2530
1.2608 3.5560 3.7591
1.2608 4.0087 8.7713
1.4872 1.2608 6.2652
3.5560 3.7824 6.2652
3.7824 1.0344 8.7713
3.7824 1.4872 3.7591
4.0087 3.7824 1.2530
```

---

[4]
DFT (PBE+U) results for a geometry-optimized CoWF2 structure.

Output
Its space-group type is Fm-3m (225). The calculation puts the magnetization at 0.423 Bohr magnetons per cell. The calculation puts the density of states at the Fermi level at 28.4 states/eV per cell. For the density, the calculation gives 9.85 Mg/m³. The calculation puts the energy above the most stable polymorph in this dataset at 1032 meV/atom.

Structure (POSCAR):
```
CoWF2
1.0
5.7416 0.0000 0.0000
0.0000 5.7416 0.0000
0.0000 0.0000 5.7416
Co W F
4 4 8
Cartesian
0.0000 0.0000 0.0000
0.0000 2.8708 2.8708
2.8708 0.0000 2.8708
2.8708 2.8708 0.0000
0.0000 0.0000 2.8708
0.0000 2.8708 0.0000
2.8708 0.0000 0.0000
2.8708 2.8708 2.8708
1.4354 1.4354 1.4354
1.4354 1.4354 4.3062
1.4354 4.3062 1.4354
1.4354 4.3062 4.3062
4.3062 1.4354 1.4354
4.3062 1.4354 4.3062
4.3062 4.3062 1.4354
4.3062 4.3062 4.3062
```

---

- Among the records above, which one has the highest magnetization?
  number 3